# 1
A relaxed Pa3Co4BiO12 crystal. Source: the Alexandria database, functional GGA+U.

```
20
Lattice="7.096 -0.126 -0.174 -1.832 6.857 -0.174 -1.832 -2.342 6.447" Properties=species:S:1:pos:R:3 pbc="T T T"
Pa 2.162 -1.350 3.485
Pa 3.102 2.998 -0.174
Pa -1.832 2.741 2.788
O 3.319 5.199 -0.241
O -2.623 2.769 4.854
O 6.056 0.665 1.932
O 4.247 -1.649 4.166
O 0.114 6.268 1.244
O 1.716 0.691 4.131
O -1.772 4.922 3.049
O -0.814 -0.085 6.339
O 0.257 3.336 3.049
O 3.175 2.557 1.967
O 1.716 -1.399 5.636
O 5.204 3.060 0.462
Co 5.415 -0.698 3.049
Co -1.982 1.276 5.792
Co 1.716 2.195 3.049
Co 1.716 6.005 0.306
Bi 0.000 0.000 0.000
```

Calculated values
electronic total energy = -7.77 eV per atom

# 2
A relaxed Co2BiPbO6 crystal. Source: the Alexandria database, functional GGA+U.

```
10
Lattice="5.490 0.000 0.000 2.745 4.755 0.000 2.745 1.585 4.587" Properties=species:S:1:pos:R:3 pbc="T T T"
Bi 8.236 4.755 2.858
O 5.963 4.609 3.324
O 4.923 1.580 1.089
O 4.009 2.860 3.324
O 7.151 3.473 1.089
O 4.398 4.456 1.089
O 6.500 2.042 3.324
Pb 2.745 1.585 0.505
Co 5.490 3.170 2.126
Co 2.745 1.585 4.276
```

Calculated values
electronic total energy = -5.71 eV per atom

# 3
A relaxed CoBi2PbO6 crystal. Source: the Alexandria database, functional GGA+U.

```
10
Lattice="5.824 0.001 0.001 2.912 5.042 0.000 2.912 1.681 4.851" Properties=species:S:1:pos:R:3 pbc="T T T"
O 4.927 1.190 1.355
O 4.094 3.731 3.597
O 4.390 5.225 1.354
O 8.155 3.673 1.354
O 6.370 1.680 3.598
O 7.009 4.676 3.598
Pb 2.912 1.681 0.440
Co 8.736 5.043 2.603
Bi 2.913 1.681 4.370
Bi 5.824 3.362 2.061
```

Calculated values
electronic total energy = -5.59 eV per atom

# 4
A relaxed PmCoBiO4 crystal. Source: the Alexandria database, functional GGA+U.

```
14
Lattice="-3.129 -1.166 5.406 -0.129 -4.718 -4.827 5.959 1.483 3.768" Properties=species:S:1:pos:R:3 pbc="T T T"
O 0.527 -4.601 -2.466
O 3.322 -1.659 1.564
O 3.664 0.755 4.240
O -0.963 -5.157 0.108
O 1.733 -2.156 4.272
O 0.968 -2.245 0.076
O 2.174 0.200 6.813
O -0.621 -2.742 2.783
Pm 1.415 0.158 4.587
Pm -1.564 -0.583 2.703
Bi 4.856 -0.260 2.754
Bi -2.155 -4.142 1.594
Co 1.351 -2.201 2.174
Co 2.915 -1.618 -0.529
```

Calculated values
electronic total energy = -6.62 eV per atom

# 5
A relaxed PmCo2BiO6 crystal. Source: the Alexandria database, functional GGA+U.

```
10
Lattice="-1.012 -3.514 4.094 3.805 -3.676 1.466 2.634 0.539 4.795" Properties=species:S:1:pos:R:3 pbc="T T T"
O 2.298 -5.431 5.534
O 1.855 -2.879 6.860
O 3.578 -3.901 3.266
O 0.786 -3.195 4.178
O 3.050 -1.462 4.753
O 4.449 -3.540 6.018
Co 2.566 0.422 4.677
Co 2.606 -3.510 4.992
Bi 1.125 -2.062 2.188
Pm 3.916 -5.253 7.500
```

Calculated values
electronic total energy = -6.44 eV per atom

# 6
A relaxed PuCoBi2O6 crystal. Source: the Alexandria database, functional GGA+U.

```
10
Lattice="6.045 0.236 0.172 3.221 5.194 0.232 3.217 1.948 4.822" Properties=species:S:1:pos:R:3 pbc="T T T"
O 8.569 3.638 1.658
O 4.776 1.576 1.992
O 6.884 2.189 4.075
O 4.629 4.004 3.582
O 4.633 5.568 1.373
O 7.998 5.207 4.435
Co 9.337 5.505 2.989
Bi 5.898 3.578 1.630
Bi 3.510 1.997 3.953
Pu 3.095 1.818 0.375
```

Calculated values
electronic total energy = -7.24 eV per atom

# 7
A relaxed PuCo2BiO8 crystal. Source: the Alexandria database, functional GGA+U.

```
12
Lattice="-4.331 -3.664 1.617 3.506 -2.640 -3.942 3.176 1.467 4.749" Properties=species:S:1:pos:R:3 pbc="T T T"
O -0.834 -1.860 4.200
O -2.151 -3.673 2.009
O 2.831 -2.505 1.840
O 0.266 -4.098 2.301
O 1.585 -0.186 3.890
O 1.097 -2.125 -0.534
O -0.810 -4.857 -0.347
O -0.416 -1.066 1.897
Co -0.784 -2.674 2.602
Co -0.413 -3.152 -1.162
Pu 3.135 -2.162 -0.177
Bi 0.000 0.000 0.000
```

Calculated values
electronic total energy = -7.00 eV per atom

# 8
A relaxed RbCoBiO4 crystal. Source: the Alexandria database, functional GGA+U.

```
14
Lattice="-0.227 -0.336 6.112 0.054 -5.960 -0.326 7.379 0.178 -2.041" Properties=species:S:1:pos:R:3 pbc="T T T"
Rb 6.842 -4.542 2.195
Rb 0.364 -1.576 1.551
O 2.389 -3.006 -0.428
O 1.282 -4.579 1.953
O 5.924 -1.539 1.793
O 4.791 -0.256 4.330
O 2.415 -5.862 -0.584
O 3.154 -1.588 2.235
O 4.052 -4.530 1.511
O 4.817 -3.112 4.174
Co 4.740 -1.621 3.089
Co 2.466 -4.497 0.657
Bi 3.317 -4.652 3.629
Bi 3.889 -1.466 0.116
```

Calculated values
electronic total energy = -5.35 eV per atom

# 9
A relaxed CoBiRh2O crystal. Source: the Alexandria database, functional GGA+U.

```
5
Lattice="-3.749 -3.370 0.026 1.095 -1.253 -4.644 3.179 -3.524 1.701" Properties=species:S:1:pos:R:3 pbc="T T T"
O 0.263 -4.074 -1.459
Bi 0.000 0.000 0.000
Rh 1.590 -1.762 0.850
Rh -1.875 -1.685 0.013
Co 0.547 -0.627 -2.322
```

Calculated values
electronic total energy = -3.87 eV per atom

# 10
A relaxed Co2BiRhO8 crystal. Source: the Alexandria database, functional GGA+U.

```
12
Lattice="5.759 0.311 0.000 -2.275 5.299 0.000 -1.742 -2.805 4.728" Properties=species:S:1:pos:R:3 pbc="T T T"
O 0.277 2.197 0.923
O 0.104 -1.582 3.805
O 2.829 -1.405 3.145
O 4.256 0.893 1.584
O 2.930 1.716 3.145
O -0.104 1.582 3.805
O 3.206 3.414 0.923
O 1.503 -0.582 1.584
Rh -1.138 2.650 2.364
Co 1.742 2.805 0.000
Co 2.879 0.156 2.364
Bi 0.000 0.000 0.000
```

Calculated values
electronic total energy = -5.56 eV per atom